# TaNb2OsAu, optimized geometry, DFT PBE
data_TaNb2OsAu
_space_group_name_H-M_alt 'P 4/m m m'
_space_group_IT_number 123
_space_group_name_Hall '-P 4 2'
_cell_length_a 4.830
_cell_length_b 4.830
_cell_length_c 4.828
_cell_angle_alpha 90.00
_cell_angle_beta 90.00
_cell_angle_gamma 90.00
loop_
_atom_site_label
_atom_site_type_symbol
_atom_site_fract_x
_atom_site_fract_y
_atom_site_fract_z
Ta1 Ta 0.000 0.000 0.000
Nb1 Nb 0.000 0.500 0.500
Os1 Os 0.000 0.000 0.500
Au1 Au 0.500 0.500 0.000
# **Fermi-level density of states**: 4.55 states/eV/cell
# **VASP energy**: -8.284 eV/atom

=====

# NdPuTe2, optimized geometry, DFT PBE
data_NdPuTe2
_space_group_name_H-M_alt 'R 3 m'
_space_group_IT_number 160
_space_group_name_Hall 'R 3 -2"'
_cell_length_a 4.3139
_cell_length_b 4.3139
_cell_length_c 23.5751
_cell_angle_alpha 90.00
_cell_angle_beta 90.00
_cell_angle_gamma 120.00
loop_
_atom_site_label
_atom_site_type_symbol
_atom_site_fract_x
_atom_site_fract_y
_atom_site_fract_z
Nd1 Nd 0.0000 0.0000 0.0000
Pu1 Pu 0.0000 0.0000 0.1725
Te1 Te 0.0000 0.0000 0.5834
Te2 Te 0.0000 0.0000 0.7551
# **Distance to the lowest polymorph of the same formula**: 53 meV per atom
# **Fermi-level density of states**: 32.29 states/eV/cell
# **VASP energy**: -7.569 eV/atom

=====

# Tb8TlHg2, optimized geometry, DFT PBE
data_Tb8TlHg2
_space_group_name_H-M_alt 'I m m m'
_space_group_IT_number 71
_space_group_name_Hall '-I 2 2'
_cell_length_a 5.067
_cell_length_b 8.457
_cell_length_c 14.933
_cell_angle_alpha 90.00
_cell_angle_beta 90.00
_cell_angle_gamma 90.00
loop_
_atom_site_label
_atom_site_type_symbol
_atom_site_fract_x
_atom_site_fract_y
_atom_site_fract_z
Tb1 Tb 0.000 0.000 0.137
Tb2 Tb 0.000 0.219 0.338
Tb3 Tb 0.000 0.311 0.000
Tl1 Tl 0.000 0.500 0.500
Hg1 Hg 0.000 0.500 0.198
# **Distance to the lowest polymorph of the same formula**: 0 meV per atom
# **Fermi-level density of states**: 24.93 states/eV/cell
# **VASP energy**: -3.796 eV/atom

=====

# Zr3Ga3Fe, optimized geometry, DFT PBE
data_Zr3Ga3Fe
_space_group_name_H-M_alt 'C 1 2/m 1'
_space_group_IT_number 12
_cell_length_a 10.298
_cell_length_b 3.895
_cell_length_c 13.461
_cell_angle_alpha 90.00
_cell_angle_beta 109.43
_cell_angle_gamma 90.00
loop_
_space_group_symop_operation_xyz
'x,y,z'
'-x,-y,-z'
'-x,y,-z'
'x,-y,z'
'x+1/2,y+1/2,z'
'-x+1/2,-y+1/2,-z'
'-x+1/2,y+1/2,-z'
'x+1/2,-y+1/2,z'
loop_
_atom_site_label
_atom_site_type_symbol
_atom_site_fract_x
_atom_site_fract_y
_atom_site_fract_z
Zr1 Zr 0.028 0.000 0.379
Zr2 Zr 0.109 0.000 0.922
Zr3 Zr 0.242 0.000 0.233
Ga1 Ga 0.026 0.500 0.231
Ga2 Ga 0.116 0.500 0.075
Ga3 Ga 0.131 0.500 0.546
Fe1 Fe 0.229 0.500 0.399
# **Fermi-level density of states**: 22.06 states/eV/cell
# **VASP energy**: -6.670 eV/atom

=====

Question: Number 3 is which compound?
Answer: Tb8TlHg2